DFT (PBE) results for V5CuS8 after structural relaxation.

Lattice parameters (Å, degrees): 9.891 9.891 9.891 90.00 90.00 90.00
Space group F-43m (No. 216)
Asymmetric unit:
V1 0.000 0.000 0.000
V2 0.108 0.108 0.608
Cu1 0.250 0.250 0.250
S1 0.123 0.123 0.377
S2 0.136 0.136 0.864

Calculated values
Raw total energy   -6.72 eV per atom